Compound: V2SnI6
Source: Alexandria via LeMat-Bulk
Functional: GGA-PBE
Structure: optimized geometry

Cell lengths 16.275, 4.220, 11.152 Å; angles 90.00, 110.70, 90.00 degrees
Space group C2/m (No. 12)
Asymmetric unit:
V 0.171 0.000 0.341
Sn 0.000 0.500 0.000
I 0.044 0.500 0.303
I 0.156 0.000 0.077
I 0.203 0.000 0.608

The value obtained for the formation energy from raw total energies is -0.4528 eV/atom.



Compound: Ga2TcAu
Source: Alexandria via LeMat-Bulk
Functional: GGA-PBE
Structure: optimized geometry

Cell lengths 3.228, 3.228, 6.037 Å; angles 90.00, 90.00, 90.00 degrees
Space group P4/mmm (No. 123)
Asymmetric unit:
Ga 0.000 0.000 0.221
Tc 0.500 0.500 0.000
Au 0.500 0.500 0.500

Its formation energy from the elements is -10 kJ/mol of atoms. The value obtained for the density of states at the Fermi level is 2.65 states/eV/cell. As for the energy above the lowest structure with this stoichiometry: 14 meV/atom.



| no. | total moment (μB per formula unit) |
| --- | --- |
| 1 | 6.00 |
| 2 | 0.00 |